## Ta2NbTlBi (PBE)

Data for a relaxed Ta2NbTlBi crystal.

Cell and atoms, written as POSCAR:
```
Ta2NbTlBi
1.0
5.146 0.000 0.000
0.000 5.146 0.000
0.000 0.000 5.515
Ta Nb Tl Bi
2 1 1 1
direct
0.000 0.500 0.000
0.500 0.000 0.000
0.000 0.000 0.500
0.500 0.500 0.500
0.500 0.500 0.000
```

## Properties
- ΔE_f: 2392 meV per atom
- Density: 9.9 Mg/m³
- E: -5.6127 eV per atom
- Space-group type: P4/mmm

***

## SrPW2 (PBE)

Data for a relaxed SrPW2 crystal.

Cell and atoms, written as POSCAR:
```
SrPW2
1.0
3.313 0.000 0.000
0.000 4.170 0.000
-1.643 0.000 6.261
Sr P W
1 1 2
direct
0.000 0.000 0.000
0.378 0.500 0.756
0.260 0.000 0.517
0.736 0.500 0.468
```

## Properties
- ΔE_f: 127 meV per atom
- Density: 9.3 Mg/m³
- E: -8.1224 eV per atom
- Space-group type: Pm

***

## Li2ZrAl (PBE)

Data for a relaxed Li2ZrAl crystal.

Cell and atoms, written as POSCAR:
```
Li2ZrAl
1.0
4.008 0.000 0.000
0.000 4.008 0.000
0.000 0.000 4.722
Li Zr Al
2 1 1
direct
0.000 0.500 0.000
0.500 0.000 0.000
0.000 0.000 0.500
0.500 0.500 0.500
```

## Properties
- ΔE_f: 10 meV per atom
- Density: 2.9 Mg/m³
- E: -4.0195 eV per atom
- Space-group type: P4/mmm

***

## DyTlCdHg (PBE)

Data for a relaxed DyTlCdHg crystal.

Cell and atoms, written as POSCAR:
```
DyTlCdHg
1.0
4.261 0.000 0.000
0.000 4.819 0.000
0.000 0.000 4.857
Dy Tl Cd Hg
1 1 1 1
direct
0.000 0.000 0.000
0.500 0.500 0.000
0.000 0.500 0.500
0.500 0.000 0.500
```

## Properties
- ΔE_f: -283 meV per atom
- Density: 11.3 Mg/m³
- E: -2.3291 eV per atom
- Space-group type: Pmmm
- Relative energy among the computed polymorphs: 0 kJ/mol of formula units

***

E of number 2 (SrPW2)?
-8.1224 eV per atom

***

Look up the density of the second one.
9.3 Mg/m³

***

Number 3 is which compound?
Li2ZrAl

***

Repeat the first record exactly.
## Ta2NbTlBi (PBE)

Data for a relaxed Ta2NbTlBi crystal.

Cell and atoms, written as POSCAR:
```
Ta2NbTlBi
1.0
5.146 0.000 0.000
0.000 5.146 0.000
0.000 0.000 5.515
Ta Nb Tl Bi
2 1 1 1
direct
0.000 0.500 0.000
0.500 0.000 0.000
0.000 0.000 0.500
0.500 0.500 0.500
0.500 0.500 0.000
```

## Properties
- ΔE_f: 2392 meV per atom
- Density: 9.9 Mg/m³
- E: -5.6127 eV per atom
- Space-group type: P4/mmm